Entry 1:
Below is a relaxed structure of BeGeAu2O, with properties calculated at the PBEsol level.

abc: 4.180 4.433 4.433
angles: 90.00 90.00 90.00
Fractional positions:
Ge 0.500 0.000 0.000
Au 0.000 0.000 0.500
Au 0.000 0.500 0.000
O 0.000 0.000 0.000
Be 0.500 0.500 0.500

- Spin magnetization: 0.00 μB per formula unit
- Theoretical density: 9.9 g cm⁻³
- Formation energy from raw total energies: 635 meV/atom
- Crystal system: tetragonal
- Symmetry: P4/mmm (123)

---

Entry 2:
Below is a relaxed structure of Al3Cr4, with properties calculated at the PBEsol level.

abc: 2.951 2.951 10.293
angles: 98.24 98.24 90.00
Fractional positions:
Cr 0.575 0.575 0.150
Cr 0.134 0.134 0.268
Cr 0.866 0.866 0.732
Cr 0.425 0.425 0.850
Al 0.000 0.000 0.000
Al 0.707 0.707 0.414
Al 0.293 0.293 0.586

- Spin magnetization: 0.79 μB per formula unit
- Theoretical density: 5.5 g cm⁻³
- Formation enthalpy at 0 K: -0.12 eV per atom
- Crystal system: tetragonal
- Symmetry: I4/mmm (139)

---

Entry 3:
Below is a relaxed structure of KAlAg2, with properties calculated at the PBEsol level.

abc: 4.582 4.579 6.605
angles: 109.19 90.00 120.02
Fractional positions:
Al 0.571 0.141 0.718
Ag 0.929 0.859 0.797
Ag 0.239 0.478 0.723
K 0.761 0.522 0.263

- Spin magnetization: 0.00 μB per formula unit
- Theoretical density: 4.2 g cm⁻³
- Formation enthalpy at 0 K: 0.03 eV per atom
- Crystal system: monoclinic
- Symmetry: Cm (8)

---

Entry 4:
Below is a relaxed structure of CaY2In2, with properties calculated at the PBEsol level.

abc: 3.917 8.479 8.479
angles: 90.00 90.00 90.00
Fractional positions:
Y 0.500 0.174 0.674
Y 0.500 0.826 0.326
Y 0.500 0.674 0.826
Y 0.500 0.326 0.174
Ca 0.000 0.000 0.000
Ca 0.000 0.500 0.500
In 0.000 0.875 0.625
In 0.000 0.375 0.875
In 0.000 0.125 0.375
In 0.000 0.625 0.125

- Spin magnetization: 0.01 μB per formula unit
- Theoretical density: 5.3 g cm⁻³
- Formation enthalpy at 0 K: -0.44 eV per atom
- Crystal system: tetragonal
- Symmetry: P4/mbm (127)

---

Entry 5:
Below is a relaxed structure of LiAgCl, with properties calculated at the PBEsol level.

abc: 3.095 3.095 6.173
angles: 104.52 104.52 90.00
Fractional positions:
Ag 0.991 0.991 0.982
Cl 0.717 0.717 0.434
Li 0.292 0.292 0.584

- Spin magnetization: 0.00 μB per formula unit
- Theoretical density: 4.5 g cm⁻³
- Formation energy from raw total energies: -623 meV/atom
- Crystal system: tetragonal
- Symmetry: I4mm (107)

---

Entry 6:
Below is a relaxed structure of RhPb2Br, with properties calculated at the PBEsol level.

abc: 3.890 3.890 8.005
angles: 76.15 76.15 60.11
Fractional positions:
Pb 0.231 0.231 0.803
Pb 0.769 0.769 0.197
Br 0.000 0.000 0.500
Rh 0.500 0.500 0.000

- Spin magnetization: 0.00 μB per formula unit
- Polymorph energy (0 for the lowest one): 0.0000 eV per atom
- Theoretical density: 9.8 g cm⁻³
- Formation energy from raw total energies: -130 meV/atom
- Crystal system: monoclinic
- Symmetry: C2/m (12)

---

Entry 7:
Below is a relaxed structure of KCoNi2, with properties calculated at the PBEsol level.

abc: 2.622 3.155 7.486
angles: 90.00 90.00 90.00
Fractional positions:
K 0.500 0.500 0.500
Ni 0.000 0.000 0.164
Ni 0.000 0.000 0.836
Co 0.500 0.500 0.000

- Spin magnetization: 2.65 μB per formula unit
- Polymorph energy (0 for the lowest one): 0.0000 eV per atom
- Theoretical density: 5.8 g cm⁻³
- Formation enthalpy at 0 K: 0.57 eV per atom
- Crystal system: orthorhombic
- Symmetry: Pmmm (47)

---

Entry 8:
Below is a relaxed structure of LiTl2Os, with properties calculated at the PBEsol level.

abc: 3.363 3.363 6.308
angles: 90.00 90.00 90.00
Fractional positions:
Tl 0.000 0.000 0.250
Tl 0.000 0.000 0.750
Li 0.500 0.500 0.000
Os 0.500 0.500 0.500

- Spin magnetization: 0.00 μB per formula unit
- Polymorph energy (0 for the lowest one): 0.0000 eV per atom
- Theoretical density: 14.1 g cm⁻³
- Formation enthalpy at 0 K: 0.41 eV per atom
- Crystal system: tetragonal
- Symmetry: P4/mmm (123)

---

Entry 9:
Below is a relaxed structure of SnB2H, with properties calculated at the PBEsol level.

abc: 3.974 3.974 3.974
angles: 60.00 60.00 60.00
Fractional positions:
B 0.750 0.750 0.750
B 0.250 0.250 0.250
Sn 0.500 0.500 0.500
H 0.000 0.000 0.000

- Spin magnetization: 0.00 μB per formula unit
- Theoretical density: 5.3 g cm⁻³
- Crystal system: cubic
- Electronic total energy: -14.9 eV/cell
- Symmetry: Fm-3m (225)

---

Entry 10:
Below is a relaxed structure of CsSbTe2F, with properties calculated at the PBEsol level.

abc: 6.276 6.276 6.604
angles: 90.00 90.00 90.00
Fractional positions:
Cs 0.000 0.000 0.000
Te 0.500 0.000 0.000
Te 0.000 0.500 0.000
F 0.500 0.500 0.500
Sb 0.000 0.000 0.500

- Spin magnetization: 1.48 μB per formula unit
- Theoretical density: 3.4 g cm⁻³
- Formation energy from raw total energies: 1131 meV/atom
- Crystal system: tetragonal
- Symmetry: P4/mmm (123)

---

Entry 11:
Below is a relaxed structure of Be2AlCu, with properties calculated at the PBEsol level.

abc: 2.692 4.072 4.072
angles: 105.12 90.00 90.00
Fractional positions:
Be 0.000 0.000 0.500
Be 0.000 0.500 0.000
Cu 0.500 0.000 0.000
Al 0.500 0.500 0.500

- Spin magnetization: 0.00 μB per formula unit
- Theoretical density: 4.2 g cm⁻³
- Formation enthalpy at 0 K: 0.10 eV per atom
- Crystal system: orthorhombic
- Symmetry: Cmmm (65)

---

Entry 12:
Below is a relaxed structure of TlTc2F, with properties calculated at the PBEsol level.

abc: 4.435 4.435 4.435
angles: 60.00 60.00 60.00
Fractional positions:
Tc 0.750 0.750 0.750
Tc 0.250 0.250 0.250
F 0.000 0.000 0.000
Tl 0.500 0.500 0.500

- Spin magnetization: 2.94 μB per formula unit
- Theoretical density: 11.3 g cm⁻³
- Formation energy from raw total energies: 846 meV/atom
- Crystal system: cubic
- Symmetry: Fm-3m (225)